Density functional theory data (PBE-GGA) for a relaxed structure of Tc2PPb.

Offset from the most stable computed form (eV per atom): 0.108
E_tot (eV/atom): -7.35
Space-group type: Cm, No. 8
DFT formation energy (eV/atom): 0.113
Theoretical density (g cm⁻³): 10.3

Cell lengths 4.3164, 4.3164, 5.9513 Å; angles 68.92, 68.92, 43.47 degrees
Sites, in units of the cell vectors:
1 Tc 0.9839 0.9839 0.0467
2 Tc 0.2032 0.2032 0.3981
3 P 0.5194 0.5194 0.3040
4 Pb 0.7934 0.7934 0.7512

=====

Density functional theory data (PBE-GGA) for a relaxed structure of TcPPb2.

E_tot (eV/atom): -5.01
Space-group type: Immm, No. 71
DFT formation energy (eV/atom): 0.788
Theoretical density (g cm⁻³): 10.7

Cell lengths 5.4211, 5.4211, 5.4211 Å; angles 139.53, 123.96, 71.37 degrees
Each line ends with the local moment (μB).
Sites, in units of the cell vectors:
1 Tc 0.0000 0.5000 0.5000  0.62
2 P 0.5000 0.0000 0.5000  0.00
3 Pb 0.7403 0.7403 0.0000  0.00
4 Pb 0.2597 0.2597 0.0000  0.00

=====

Copy entry 1 word for word.
Density functional theory data (PBE-GGA) for a relaxed structure of Tc2PPb.

Offset from the most stable computed form (eV per atom): 0.108
E_tot (eV/atom): -7.35
Space-group type: Cm, No. 8
DFT formation energy (eV/atom): 0.113
Theoretical density (g cm⁻³): 10.3

Cell lengths 4.3164, 4.3164, 5.9513 Å; angles 68.92, 68.92, 43.47 degrees
Sites, in units of the cell vectors:
1 Tc 0.9839 0.9839 0.0467
2 Tc 0.2032 0.2032 0.3981
3 P 0.5194 0.5194 0.3040
4 Pb 0.7934 0.7934 0.7512